This record from Alexandria describes crystalline TbPmDy6Y2 at its relaxed geometry. The functional is PBE.

Computed properties:
* VASP energy: -194.61 eV/cell
* calculated volume: 32.514 Å³ per atom
* crystal system: monoclinic
* size of the total moment: 0.00 μB per cell
* ΔH_f (0 K): 0.127 eV/atom

```
data_TbPmDy6Y2
_chemical_formula_sum 'Tb4 Pm4 Dy24 Y8'
_symmetry_space_group_name_H-M 'C 1 2/c 1'
_symmetry_Int_Tables_number 15
_cell_length_a 9.1362
_cell_length_b 15.0273
_cell_length_c 9.5479
_cell_angle_alpha 90.00
_cell_angle_beta 97.19
_cell_angle_gamma 90.00
loop_
_symmetry_equiv_pos_as_xyz
'x,y,z'
'-x,-y,-z'
'-x,y,-z+1/2'
'x,-y,z+1/2'
'x+1/2,y+1/2,z'
'-x+1/2,-y+1/2,-z'
'-x+1/2,y+1/2,-z+1/2'
'x+1/2,-y+1/2,z+1/2'
loop_
_atom_site_label
_atom_site_type_symbol
_atom_site_fract_x
_atom_site_fract_y
_atom_site_fract_z
Tb1 Tb 0.0000 0.0272 0.2500
Pm1 Pm 0.0000 0.4078 0.7500
Dy1 Dy 0.0640 0.1834 0.9432
Dy2 Dy 0.0986 0.3911 0.1191
Dy3 Dy 0.2044 0.2260 0.3164
Y1 Y 0.2464 0.0509 0.5455
```